# 1
Material: BaLi2Tl2Pb
Method: DFT, PBE-GGA
State: relaxed

a = 4.8948 Å, b = 4.8948 Å, c = 8.3275 Å
α = 90.00°, β = 90.00°, γ = 120.00°
Atoms (fractional coordinates):
Ba 0.0000 0.0000 0.0000
Li 0.3333 0.6667 0.6257
Li 0.6667 0.3333 0.3743
Tl 0.3333 0.6667 0.2601
Tl 0.6667 0.3333 0.7399
Pb 0.0000 0.0000 0.5000

Total moment: 0.00 μB/f.u.
Uncorrected energy: -15.96 eV/f.u.
Energy relative to the elements: -0.295 eV/atom

=====

# 2
Material: Tb3Hg2Au6
Method: DFT, PBE-GGA
State: relaxed

a = 14.8004 Å, b = 14.8004 Å, c = 14.8004 Å
α = 163.85°, β = 163.85°, γ = 22.92°
Atoms (fractional coordinates):
Tb 0.0000 0.0000 0.0000
Tb 0.2040 0.2040 0.0000
Tb 0.7960 0.7960 0.0000
Hg 0.4497 0.4497 0.0000
Hg 0.5503 0.5503 0.0000
Au 0.1201 0.6201 0.5000
Au 0.3078 0.3078 0.0000
Au 0.3799 0.8799 0.5000
Au 0.6201 0.1201 0.5000
Au 0.6922 0.6922 0.0000
Au 0.8799 0.3799 0.5000

Total moment: 0.00 μB/f.u.
Uncorrected energy: -39.59 eV/f.u.
Energy relative to the elements: -0.494 eV/atom

=====

# 3
Material: KCrTc2Ir
Method: DFT, PBE-GGA
State: relaxed

a = 4.8199 Å, b = 4.8199 Å, c = 5.0615 Å
α = 90.00°, β = 90.00°, γ = 90.00°
Atoms (fractional coordinates):
K 0.0000 0.0000 0.0000
Cr 0.5000 0.5000 0.0000
Tc 0.0000 0.5000 0.5000
Tc 0.5000 0.0000 0.5000
Ir 0.5000 0.5000 0.5000

Total moment: 0.86 μB/f.u.
Uncorrected energy: -33.43 eV/f.u.
Energy relative to the elements: 1.378 eV/atom